(1)
Entry from Alexandria: BaH after structural relaxation (PBE-GGA).

Properties
SG: Pmm2 (25)
Final energy in eV/cell: -11.80

a = 4.317 Å, b = 4.359 Å, c = 5.959 Å
α = 90.00°, β = 90.00°, γ = 90.00°
Sites, in units of the cell vectors:
Ba (0.500, 0.500, 0.722)
Ba (0.000, 0.000, 0.261)
H (0.000, 0.500, 0.485)
H (0.000, 0.000, 0.762)

(2)
Entry from Alexandria: BaH after structural relaxation (PBE-GGA).

Properties
SG: C2/m (12)
Final energy in eV/cell: -23.85

a = 7.663 Å, b = 4.402 Å, c = 7.594 Å
α = 90.00°, β = 91.51°, γ = 90.00°
Sites, in units of the cell vectors:
Ba (0.778, 0.000, 0.326)
Ba (0.222, 0.000, 0.674)
Ba (0.778, 0.500, 0.826)
Ba (0.222, 0.500, 0.174)
H (0.877, 0.000, 0.663)
H (0.123, 0.000, 0.337)
H (0.877, 0.500, 0.163)
H (0.123, 0.500, 0.837)

(3)
Entry from Alexandria: BaH after structural relaxation (PBE-GGA).

Properties
SG: P2_1/m (11)
Final energy in eV/cell: -12.01

a = 4.437 Å, b = 4.429 Å, c = 6.760 Å
α = 90.00°, β = 90.08°, γ = 90.00°
Sites, in units of the cell vectors:
H (0.250, 0.750, 0.999)
H (0.750, 0.250, 0.001)
Ba (0.749, 0.750, 0.788)
Ba (0.251, 0.250, 0.212)

(4)
Entry from Alexandria: BaH after structural relaxation (PBE-GGA).

Properties
SG: I4/m (87)
Final energy in eV/cell: -47.13

a = 10.943 Å, b = 10.943 Å, c = 4.371 Å
α = 90.00°, β = 90.00°, γ = 90.00°
Sites, in units of the cell vectors:
Ba (0.418, 0.228, 0.000)
Ba (0.582, 0.772, 0.000)
Ba (0.772, 0.418, 0.000)
Ba (0.228, 0.582, 0.000)
Ba (0.918, 0.728, 0.500)
Ba (0.082, 0.272, 0.500)
Ba (0.272, 0.918, 0.500)
Ba (0.728, 0.082, 0.500)
H (0.339, 0.797, 0.000)
H (0.661, 0.203, 0.000)
H (0.203, 0.339, 0.000)
H (0.797, 0.661, 0.000)
H (0.839, 0.297, 0.500)
H (0.161, 0.703, 0.500)
H (0.703, 0.839, 0.500)
H (0.297, 0.161, 0.500)

(5)
Entry from Alexandria: BaH after structural relaxation (PBE-GGA).

Properties
SG: P6_3/m (176)
Final energy in eV/cell: -35.26

a = 10.074 Å, b = 10.074 Å, c = 4.536 Å
α = 90.00°, β = 90.00°, γ = 120.00°
Sites, in units of the cell vectors:
Ba (0.895, 0.299, 0.250)
Ba (0.597, 0.895, 0.750)
Ba (0.701, 0.597, 0.250)
Ba (0.105, 0.701, 0.750)
Ba (0.403, 0.105, 0.250)
Ba (0.299, 0.403, 0.750)
H (0.630, 0.044, 0.250)
H (0.586, 0.630, 0.750)
H (0.956, 0.586, 0.250)
H (0.370, 0.956, 0.750)
H (0.414, 0.370, 0.250)
H (0.044, 0.414, 0.750)

(6)
Entry from Alexandria: BaH after structural relaxation (PBE-GGA).

Properties
SG: P6_3/mmc (194)
Final energy in eV/cell: -11.77

a = 4.671 Å, b = 4.671 Å, c = 5.923 Å
α = 90.00°, β = 90.00°, γ = 120.00°
Sites, in units of the cell vectors:
Ba (0.333, 0.667, 0.750)
Ba (0.667, 0.333, 0.250)
H (0.333, 0.667, 0.250)
H (0.667, 0.333, 0.750)

(7)
Entry from Alexandria: BaH after structural relaxation (PBE-GGA).

Properties
SG: Fddd (70)
Final energy in eV/cell: -95.35

a = 9.555 Å, b = 12.459 Å, c = 8.764 Å
α = 90.00°, β = 90.00°, γ = 90.00°
Sites, in units of the cell vectors:
Ba (0.221, 0.000, 0.000)
Ba (0.779, 0.000, 0.000)
Ba (0.029, 0.750, 0.250)
Ba (0.471, 0.750, 0.250)
Ba (0.221, 0.500, 0.500)
Ba (0.779, 0.500, 0.500)
Ba (0.029, 0.250, 0.750)
Ba (0.471, 0.250, 0.750)
Ba (0.721, 0.000, 0.500)
Ba (0.279, 0.000, 0.500)
Ba (0.529, 0.750, 0.750)
Ba (0.971, 0.750, 0.750)
Ba (0.721, 0.500, 0.000)
Ba (0.279, 0.500, 0.000)
Ba (0.529, 0.250, 0.250)
Ba (0.971, 0.250, 0.250)
H (0.000, 0.873, 0.000)
H (0.000, 0.127, 0.000)
H (0.250, 0.877, 0.250)
H (0.250, 0.623, 0.250)
H (0.000, 0.373, 0.500)
H (0.000, 0.627, 0.500)
H (0.250, 0.377, 0.750)
H (0.250, 0.123, 0.750)
H (0.500, 0.873, 0.500)
H (0.500, 0.127, 0.500)
H (0.750, 0.877, 0.750)
H (0.750, 0.623, 0.750)
H (0.500, 0.373, 0.000)
H (0.500, 0.627, 0.000)
H (0.750, 0.377, 0.250)
H (0.750, 0.123, 0.250)

(8)
Entry from Alexandria: Ba2H3 after structural relaxation (PBE-GGA).

Properties
SG: P-4m2 (115)
Final energy in eV/cell: -15.85

a = 4.434 Å, b = 4.434 Å, c = 6.349 Å
α = 90.00°, β = 90.00°, γ = 90.00°
Sites, in units of the cell vectors:
Ba (0.500, 0.000, 0.766)
Ba (0.000, 0.500, 0.234)
H (0.000, 0.000, 0.000)
H (0.500, 0.500, 0.000)
H (0.000, 0.000, 0.500)

(9)
Entry from Alexandria: Ba2H3 after structural relaxation (PBE-GGA).

Properties
SG: R-3c (167)
Final energy in eV/cell: -31.50

a = 6.909 Å, b = 6.909 Å, c = 6.992 Å
α = 60.39°, β = 60.39°, γ = 60.00°
Sites, in units of the cell vectors:
H (0.019, 0.750, 0.750)
H (0.750, 0.481, 0.750)
H (0.481, 0.019, 0.750)
H (0.250, 0.519, 0.250)
H (0.519, 0.981, 0.250)
H (0.981, 0.250, 0.250)
Ba (0.864, 0.864, 0.408)
Ba (0.364, 0.364, 0.908)
Ba (0.136, 0.136, 0.592)
Ba (0.636, 0.636, 0.092)

(10)
Entry from Alexandria: BaH after structural relaxation (PBE-GGA).

Properties
SG: F-43m (216)
Final energy in eV/cell: -23.20

a = 6.210 Å, b = 6.210 Å, c = 6.210 Å
α = 90.00°, β = 90.00°, γ = 90.00°
Sites, in units of the cell vectors:
Ba (0.000, 0.000, 0.000)
Ba (0.000, 0.500, 0.500)
Ba (0.500, 0.000, 0.500)
Ba (0.500, 0.500, 0.000)
H (0.250, 0.250, 0.250)
H (0.250, 0.750, 0.750)
H (0.750, 0.250, 0.750)
H (0.750, 0.750, 0.250)

(11)
Entry from Alexandria: BaH after structural relaxation (PBE-GGA).

Properties
SG: P-1 (2)
Final energy in eV/cell: -11.93

a = 4.374 Å, b = 4.375 Å, c = 7.969 Å
α = 77.47°, β = 77.30°, γ = 60.48°
Sites, in units of the cell vectors:
Ba (0.772, 0.275, 0.221)
Ba (0.228, 0.725, 0.779)
H (0.866, 0.364, 0.879)
H (0.134, 0.636, 0.121)

(12)
Entry from Alexandria: BaH after structural relaxation (PBE-GGA).

Properties
SG: P4_2/mnm (136)
Final energy in eV/cell: -23.54

a = 7.318 Å, b = 7.318 Å, c = 4.515 Å
α = 90.00°, β = 90.00°, γ = 90.00°
Sites, in units of the cell vectors:
Ba (0.292, 0.292, 0.000)
Ba (0.792, 0.208, 0.500)
Ba (0.208, 0.792, 0.500)
Ba (0.708, 0.708, 0.000)
H (0.350, 0.650, 0.000)
H (0.850, 0.850, 0.500)
H (0.150, 0.150, 0.500)
H (0.650, 0.350, 0.000)

(13)
Entry from Alexandria: Ba3H2 after structural relaxation (PBE-GGA).

Properties
SG: Cc (9)
Final energy in eV/cell: -27.34

a = 7.634 Å, b = 7.650 Å, c = 7.695 Å
α = 60.19°, β = 80.79°, γ = 71.21°
Sites, in units of the cell vectors:
Ba (0.891, 0.538, 0.813)
Ba (0.866, 0.899, 0.169)
Ba (0.366, 0.068, 0.831)
Ba (0.869, 0.184, 0.528)
Ba (0.391, 0.352, 0.187)
Ba (0.369, 0.712, 0.472)
H (0.001, 0.164, 0.838)
H (0.501, 0.002, 0.162)
H (0.504, 0.333, 0.502)
H (0.004, 0.835, 0.498)

(14)
Entry from Alexandria: BaH after structural relaxation (PBE-GGA).

Properties
SG: Pmmn (59)
Final energy in eV/cell: -35.34

a = 4.355 Å, b = 6.460 Å, c = 13.225 Å
α = 90.00°, β = 90.00°, γ = 90.00°
Sites, in units of the cell vectors:
Ba (0.000, 0.789, 0.840)
Ba (0.500, 0.211, 0.660)
Ba (0.500, 0.211, 0.340)
Ba (0.000, 0.789, 0.160)
Ba (0.000, 0.724, 0.500)
Ba (0.500, 0.276, 0.000)
H (0.000, 0.977, 0.658)
H (0.500, 0.023, 0.842)
H (0.500, 0.023, 0.158)
H (0.000, 0.977, 0.342)
H (0.000, 0.524, 0.000)
H (0.500, 0.476, 0.500)

(15)
Entry from Alexandria: Ba3H2 after structural relaxation (PBE-GGA).

Properties
SG: R-3c (167)
Final energy in eV/cell: -26.92

a = 7.410 Å, b = 7.410 Å, c = 8.065 Å
α = 62.65°, β = 62.65°, γ = 60.00°
Sites, in units of the cell vectors:
H (0.831, 0.831, 0.506)
H (0.331, 0.331, 0.006)
H (0.169, 0.169, 0.494)
H (0.669, 0.669, 0.994)
Ba (0.074, 0.750, 0.750)
Ba (0.750, 0.426, 0.750)
Ba (0.426, 0.074, 0.750)
Ba (0.250, 0.574, 0.250)
Ba (0.574, 0.926, 0.250)
Ba (0.926, 0.250, 0.250)

(16)
Entry from Alexandria: BaHf2H after structural relaxation (PBE-GGA).

Properties
SG: Fm-3m (225)
Final energy in eV/cell: -18.94

a = 4.973 Å, b = 4.973 Å, c = 4.973 Å
α = 60.00°, β = 60.00°, γ = 60.00°
Sites, in units of the cell vectors:
H (0.000, 0.000, 0.000)
Hf (0.250, 0.250, 0.250)
Hf (0.750, 0.750, 0.750)
Ba (0.500, 0.500, 0.500)

(17)
Entry from Alexandria: BaHfH2 after structural relaxation (PBE-GGA).

Properties
SG: I-42d (122)
Final energy in eV/cell: -36.80

a = 5.990 Å, b = 5.990 Å, c = 5.800 Å
α = 58.91°, β = 58.91°, γ = 90.00°
Sites, in units of the cell vectors:
H (0.723, 0.125, 0.250)
H (0.027, 0.625, 0.250)
H (0.375, 0.277, 0.750)
H (0.875, 0.973, 0.750)
Hf (0.000, 0.000, 0.000)
Hf (0.750, 0.250, 0.500)
Ba (0.500, 0.500, 0.000)
Ba (0.250, 0.750, 0.500)

(18)
Entry from Alexandria: BaHf2H8 after structural relaxation (PBE-GGA).

Properties
SG: C2/m (12)
Final energy in eV/cell: -52.92

a = 3.924 Å, b = 5.710 Å, c = 5.710 Å
α = 115.36°, β = 91.57°, γ = 91.57°
Sites, in units of the cell vectors:
Ba (0.500, 0.000, 0.000)
Hf (0.000, 0.329, 0.671)
Hf (0.000, 0.671, 0.329)
H (0.988, 0.977, 0.675)
H (0.988, 0.675, 0.977)
H (0.253, 0.574, 0.574)
H (0.500, 0.724, 0.276)
H (0.500, 0.276, 0.724)
H (0.747, 0.426, 0.426)
H (0.012, 0.325, 0.023)
H (0.012, 0.023, 0.325)

(19)
Entry from Alexandria: BaHfH3 after structural relaxation (PBE-GGA).

Properties
SG: Pm-3m (221)
Final energy in eV/cell: -22.43

a = 4.189 Å, b = 4.189 Å, c = 4.189 Å
α = 90.00°, β = 90.00°, γ = 90.00°
Sites, in units of the cell vectors:
H (0.000, 0.500, 0.000)
H (0.000, 0.000, 0.500)
H (0.500, 0.000, 0.000)
Hf (0.000, 0.000, 0.000)
Ba (0.500, 0.500, 0.500)

(20)
Entry from Alexandria: BaHf2H after structural relaxation (PBE-GGA).

Properties
SG: Fd-3m (227)
Final energy in eV/cell: -47.79

a = 6.546 Å, b = 6.546 Å, c = 6.549 Å
α = 60.02°, β = 60.02°, γ = 90.00°
Sites, in units of the cell vectors:
H (0.500, 0.500, 0.000)
H (0.250, 0.750, 0.500)
Hf (0.375, 0.125, 0.250)
Hf (0.375, 0.625, 0.250)
Hf (0.375, 0.625, 0.750)
Hf (0.875, 0.625, 0.750)
Ba (0.000, 0.000, 0.000)
Ba (0.750, 0.250, 0.500)